(1)
Below is Al2ZnGe after structural relaxation, with properties calculated at the PBE-GGA level.

POSCAR file:
```
Al2ZnGe
1.0
-5.5310 4.1403 -2.7057
-3.9754 -6.1363 -1.2635
-5.8296 -0.8122 0.5002
Ge Zn Al
2 2 4
direct
0.0000 0.0000 0.0000
0.7500 0.2500 0.5000
0.5000 0.5000 0.0000
0.2500 0.7500 0.5000
0.6461 0.1250 0.2500
0.1039 0.6250 0.2500
0.3750 0.3539 0.7500
0.8750 0.8961 0.7500
```

## Properties
- N(E_F): 0.452 states/eV/atom
- E_form: 0.93 eV/f.u.
- E_tot: -24.898 eV for the cell shown
- SG: I-42d, No. 122

***

(2)
Below is SrAs2P after structural relaxation, with properties calculated at the PBE-GGA level.

POSCAR file:
```
SrAs2P
1.0
-0.5486 -0.7939 3.7751
0.1229 -3.8175 -0.7849
5.9317 0.0131 0.8647
As P Sr
2 1 1
direct
0.0000 0.0000 0.0519
0.0000 0.0000 0.4481
0.5000 0.5000 0.2500
0.5000 0.5000 0.7500
```

## Properties
- N(E_F): 0.623 states/eV/atom
- E_form: -0.39 eV/f.u.
- E_tot: -16.782 eV for the cell shown
- SG: P4/mmm, No. 123

***

Q: Number 2 is which compound?
A: SrAs2P

***

Please write out number 2 again, unchanged.
Below is SrAs2P after structural relaxation, with properties calculated at the PBE-GGA level.

POSCAR file:
```
SrAs2P
1.0
-0.5486 -0.7939 3.7751
0.1229 -3.8175 -0.7849
5.9317 0.0131 0.8647
As P Sr
2 1 1
direct
0.0000 0.0000 0.0519
0.0000 0.0000 0.4481
0.5000 0.5000 0.2500
0.5000 0.5000 0.7500
```

## Properties
- N(E_F): 0.623 states/eV/atom
- E_form: -0.39 eV/f.u.
- E_tot: -16.782 eV for the cell shown
- SG: P4/mmm, No. 123

***

Q: What is the formula in the second record?
A: SrAs2P

***

Q: Look up the E_form of the first one.
A: 0.93 eV/f.u.